1.
PBE DyY3Mg8, optimized geometry; magnetization = 0.00 μB/atom; energy of formation from the pure elements = -1.05 eV per formula unit; crystal system = trigonal
1.0
6.059 0.000 0.000
3.030 5.248 0.000
3.030 1.749 9.817
Dy Y Mg
1 3 8
Direct
0.875 0.875 0.375
0.375 0.375 0.875
0.000 0.000 0.001
0.500 0.500 0.499
0.938 0.437 0.187
0.437 0.938 0.688
0.437 0.437 0.187
0.938 0.938 0.688
0.188 0.188 0.437
0.687 0.687 0.938
0.437 0.938 0.187
0.938 0.437 0.688


2.
PBE DyYMg, optimized geometry; magnetization = 0.00 μB/atom; energy of formation from the pure elements = 0.13 eV per formula unit; crystal system = trigonal; relative energy among the computed polymorphs = 0.36 eV/f.u.
1.0
3.398 0.000 0.000
0.000 5.443 0.000
0.000 -2.722 4.714
Y Mg Dy
1 1 1
Direct
0.622 0.667 0.333
0.328 0.333 0.667
0.050 0.000 0.000